The following is a PBE calculation of an optimized crystal structure of CsRe2Rh, from Alexandria via LeMat-Bulk.

Cell lengths 4.647, 4.647, 4.647 Å; angles 60.00, 60.00, 60.00 degrees
Fractional coordinates of all 4 atoms:
Cs  0.500  0.500  0.500
Rh  0.000  0.000  0.000
Re  0.250  0.250  0.250
Re  0.750  0.750  0.750

## Properties
spin magnetization: 0.00 μB per atom
Fermi-level density of states: 2.04 states/eV/atom
mass density: 14.23 g/cm³
E_form: 2087 meV per atom

=====

The following is a PBE calculation of an optimized crystal structure of CsRe3Ru, from Alexandria via LeMat-Bulk.

Cell lengths 4.787, 4.787, 4.787 Å; angles 90.00, 90.00, 90.00 degrees
Fractional coordinates of all 5 atoms:
Re  0.500  0.000  0.000
Re  0.000  0.000  0.500
Re  0.000  0.500  0.000
Ru  0.500  0.500  0.500
Cs  0.000  0.000  0.000

## Properties
spin magnetization: 0.00 μB per atom
Fermi-level density of states: 1.12 states/eV/atom
mass density: 12.00 g/cm³
E_form: 4343 meV per atom

=====

The following is a PBE calculation of an optimized crystal structure of CsReRu3, from Alexandria via LeMat-Bulk.

Cell lengths 4.758, 4.758, 4.758 Å; angles 90.00, 90.00, 90.00 degrees
Fractional coordinates of all 5 atoms:
Re  0.500  0.500  0.500
Ru  0.000  0.500  0.000
Ru  0.000  0.000  0.500
Ru  0.500  0.000  0.000
Cs  0.000  0.000  0.000

## Properties
spin magnetization: 0.01 μB per atom
Fermi-level density of states: 2.96 states/eV/atom
mass density: 9.59 g/cm³
E_form: 3581 meV per atom

=====

The following is a PBE calculation of an optimized crystal structure of Cs3ReRu, from Alexandria via LeMat-Bulk.

Cell lengths 5.919, 5.919, 5.919 Å; angles 90.00, 90.00, 90.00 degrees
Fractional coordinates of all 5 atoms:
Cs  0.000  0.000  0.500
Cs  0.000  0.500  0.000
Cs  0.500  0.000  0.000
Re  0.500  0.500  0.500
Ru  0.000  0.000  0.000

## Properties
spin magnetization: 0.81 μB per atom
Fermi-level density of states: 1.30 states/eV/atom
mass density: 5.49 g/cm³
E_form: 2011 meV per atom

=====

The following is a PBE calculation of an optimized crystal structure of CsRe3Ru, from Alexandria via LeMat-Bulk.

Cell lengths 4.870, 4.870, 4.870 Å; angles 90.00, 90.00, 90.00 degrees
Fractional coordinates of all 5 atoms:
Re  0.500  0.000  0.000
Re  0.000  0.000  0.500
Re  0.000  0.500  0.000
Cs  0.500  0.500  0.500
Ru  0.000  0.000  0.000

## Properties
spin magnetization: 0.67 μB per atom
Fermi-level density of states: 1.24 states/eV/atom
mass density: 11.39 g/cm³
E_form: 2379 meV per atom

=====

The following is a PBE calculation of an optimized crystal structure of CsReRu3, from Alexandria via LeMat-Bulk.

Cell lengths 4.858, 4.858, 4.858 Å; angles 90.00, 90.00, 90.00 degrees
Fractional coordinates of all 5 atoms:
Re  0.000  0.000  0.000
Ru  0.000  0.000  0.500
Ru  0.000  0.500  0.000
Ru  0.500  0.000  0.000
Cs  0.500  0.500  0.500

## Properties
spin magnetization: 0.35 μB per atom
Fermi-level density of states: 2.71 states/eV/atom
mass density: 9.02 g/cm³
E_form: 1608 meV per atom

=====

The following is a PBE calculation of an optimized crystal structure of CsRe2Ru, from Alexandria via LeMat-Bulk.

Cell lengths 4.640, 4.640, 4.640 Å; angles 60.00, 60.00, 60.00 degrees
Fractional coordinates of all 4 atoms:
Ru  0.000  0.000  0.000
Re  0.750  0.750  0.750
Re  0.250  0.250  0.250
Cs  0.500  0.500  0.500

## Properties
spin magnetization: 0.00 μB per atom
Fermi-level density of states: 0.73 states/eV/atom
mass density: 14.25 g/cm³
E_form: 2120 meV per atom

=====

The following is a PBE calculation of an optimized crystal structure of CsRe2Ru, from Alexandria via LeMat-Bulk.

Cell lengths 7.538, 7.538, 6.186 Å; angles 52.46, 52.46, 90.00 degrees
Fractional coordinates of all 8 atoms:
Re  0.375  0.446  0.750
Re  0.875  0.804  0.750
Re  0.554  0.125  0.250
Re  0.196  0.625  0.250
Ru  0.250  0.750  0.500
Ru  0.500  0.500  0.000
Cs  0.750  0.250  0.500
Cs  0.000  0.000  0.000

## Properties
spin magnetization: 0.00 μB per atom
Fermi-level density of states: 1.84 states/eV/atom
mass density: 11.29 g/cm³
E_form: 2151 meV per atom

=====

The following is a PBE calculation of an optimized crystal structure of CsReS3, from Alexandria via LeMat-Bulk.

Cell lengths 6.063, 8.066, 16.289 Å; angles 124.40, 90.00, 90.00 degrees
Fractional coordinates of all 20 atoms:
Cs  0.268  0.319  0.351
Cs  0.732  0.681  0.649
Cs  0.768  0.681  0.149
Cs  0.232  0.319  0.851
S  0.442  0.788  0.870
S  0.224  0.827  0.605
S  0.057  0.222  0.061
S  0.558  0.212  0.130
S  0.557  0.778  0.439
S  0.942  0.212  0.630
S  0.058  0.788  0.370
S  0.724  0.173  0.895
S  0.943  0.778  0.939
S  0.776  0.173  0.395
S  0.443  0.222  0.561
S  0.276  0.827  0.105
Re  0.206  0.969  0.521
Re  0.794  0.031  0.479
Re  0.706  0.031  0.979
Re  0.294  0.969  0.021

## Properties
spin magnetization: 0.00 μB per atom
ΔE_f (raw): -0.69 eV/atom
Fermi-level density of states: 0.00 states/eV/atom
mass density: 4.20 g/cm³

=====

The following is a PBE calculation of an optimized crystal structure of Cs2Re2S5, from Alexandria via LeMat-Bulk.

Cell lengths 12.606, 12.606, 12.606 Å; angles 67.41, 67.41, 67.41 degrees
Fractional coordinates of all 54 atoms:
Re  0.577  0.451  0.360
Re  0.640  0.423  0.549
Re  0.923  0.140  0.049
Re  0.423  0.549  0.640
Re  0.140  0.049  0.923
Re  0.451  0.360  0.577
Re  0.549  0.640  0.423
Re  0.360  0.577  0.451
Re  0.951  0.077  0.860
Re  0.077  0.860  0.951
Re  0.049  0.923  0.140
Re  0.860  0.951  0.077
S  0.673  0.889  0.156
S  0.845  0.013  0.244
S  0.244  0.845  0.013
S  0.013  0.244  0.845
S  0.173  0.656  0.389
S  0.156  0.673  0.889
S  0.844  0.327  0.111
S  0.344  0.611  0.827
S  0.111  0.844  0.327
S  0.389  0.173  0.656
S  0.656  0.389  0.173
S  0.513  0.345  0.744
S  0.345  0.744  0.513
S  0.487  0.655  0.256
S  0.611  0.827  0.344
S  0.256  0.487  0.655
S  0.744  0.513  0.345
S  0.250  0.250  0.250
S  0.155  0.987  0.756
S  0.655  0.256  0.487
S  0.750  0.750  0.750
S  0.398  0.398  0.398
S  0.889  0.156  0.673
S  0.602  0.602  0.602
S  0.827  0.344  0.611
S  0.327  0.111  0.844
S  0.898  0.898  0.898
S  0.756  0.155  0.987
S  0.102  0.102  0.102
S  0.987  0.756  0.155
Cs  0.216  0.355  0.970
Cs  0.645  0.030  0.784
Cs  0.470  0.855  0.716
Cs  0.784  0.645  0.030
Cs  0.970  0.216  0.355
Cs  0.530  0.145  0.284
Cs  0.030  0.784  0.645
Cs  0.855  0.716  0.470
Cs  0.145  0.284  0.530
Cs  0.355  0.970  0.216
Cs  0.716  0.470  0.855
Cs  0.284  0.530  0.145

## Properties
spin magnetization: 0.01 μB per atom
ΔE_f (raw): -0.81 eV/atom
mass density: 4.85 g/cm³

=====

The following is a PBE calculation of an optimized crystal structure of CsReS3, from Alexandria via LeMat-Bulk.

Cell lengths 4.791, 4.791, 4.791 Å; angles 90.00, 90.00, 90.00 degrees
Fractional coordinates of all 5 atoms:
S  0.000  0.500  0.000
S  0.000  0.000  0.500
S  0.500  0.000  0.000
Cs  0.500  0.500  0.500
Re  0.000  0.000  0.000

## Properties
spin magnetization: 0.00 μB per atom
ΔE_f (raw): -0.26 eV/atom
Fermi-level density of states: 0.59 states/eV/atom
mass density: 6.27 g/cm³

=====

The following is a PBE calculation of an optimized crystal structure of CsRe4S7, from Alexandria via LeMat-Bulk.

Cell lengths 6.987, 5.328, 15.353 Å; angles 90.00, 90.00, 90.00 degrees
Fractional coordinates of all 24 atoms:
Re  0.598  0.194  0.788
Re  0.598  0.194  0.212
Re  0.098  0.806  0.712
Re  0.130  0.299  0.362
Re  0.630  0.701  0.862
Re  0.098  0.806  0.288
Re  0.130  0.299  0.638
Re  0.630  0.701  0.138
S  0.391  0.859  0.224
S  0.118  0.160  0.500
S  0.618  0.840  0.000
S  0.942  0.637  0.402
S  0.942  0.637  0.598
S  0.442  0.363  0.902
S  0.891  0.141  0.724
S  0.448  0.329  0.664
S  0.442  0.363  0.098
S  0.948  0.671  0.164
S  0.448  0.329  0.336
S  0.891  0.141  0.276
S  0.948  0.671  0.836
S  0.391  0.859  0.776
Cs  0.017  0.175  0.000
Cs  0.517  0.825  0.500

## Properties
spin magnetization: 0.00 μB per atom
ΔE_f (raw): -0.15 eV/atom
Fermi-level density of states: 0.60 states/eV/atom
mass density: 6.41 g/cm³

=====

The following is a PBE calculation of an optimized crystal structure of Cs3Re2S8, from Alexandria via LeMat-Bulk.

Cell lengths 7.232, 7.232, 10.698 Å; angles 70.21, 70.21, 60.00 degrees
Fractional coordinates of all 13 atoms:
S  0.762  0.273  0.693
S  0.727  0.238  0.307
S  0.273  0.762  0.693
S  0.238  0.727  0.307
S  0.727  0.727  0.307
S  0.337  0.337  0.987
S  0.273  0.273  0.693
S  0.663  0.663  0.013
Re  0.589  0.589  0.232
Re  0.411  0.411  0.768
Cs  0.211  0.211  0.367
Cs  0.000  0.000  0.000
Cs  0.789  0.789  0.633

## Properties
spin magnetization: 0.00 μB per atom
ΔE_f (raw): -0.74 eV/atom
Fermi-level density of states: 0.52 states/eV/atom
mass density: 3.83 g/cm³

=====

The following is a PBE calculation of an optimized crystal structure of Cs2Re2S5, from Alexandria via LeMat-Bulk.

Cell lengths 4.599, 6.803, 8.851 Å; angles 98.62, 90.00, 109.75 degrees
Fractional coordinates of all 9 atoms:
Cs  0.597  0.194  0.313
Cs  0.403  0.806  0.687
S  0.121  0.242  0.637
S  0.697  0.394  0.928
S  0.879  0.758  0.363
S  0.303  0.606  0.072
S  0.000  0.000  0.000
Re  0.855  0.710  0.107
Re  0.145  0.290  0.893

## Properties
spin magnetization: 0.00 μB per atom
ΔE_f (raw): -0.51 eV/atom
Fermi-level density of states: 0.77 states/eV/atom
mass density: 5.15 g/cm³

=====

The following is a PBE calculation of an optimized crystal structure of CsReS4, from Alexandria via LeMat-Bulk.

Cell lengths 6.216, 7.413, 8.624 Å; angles 115.45, 98.05, 90.00 degrees
Fractional coordinates of all 12 atoms:
Re  0.768  0.473  0.947
Re  0.232  0.527  0.053
S  0.571  0.378  0.137
S  0.000  0.747  0.000
S  0.429  0.622  0.863
S  0.000  0.253  0.000
S  0.766  0.326  0.651
S  0.234  0.674  0.349
S  0.429  0.241  0.863
S  0.571  0.759  0.137
Cs  0.794  0.804  0.608
Cs  0.206  0.196  0.392

## Properties
spin magnetization: 0.00 μB per atom
ΔE_f (raw): -0.35 eV/atom
Fermi-level density of states: 0.18 states/eV/atom
mass density: 4.19 g/cm³

=====

The following is a PBE calculation of an optimized crystal structure of Cs2ReS, from Alexandria via LeMat-Bulk.

Cell lengths 5.890, 5.890, 5.890 Å; angles 60.00, 60.00, 60.00 degrees
Fractional coordinates of all 4 atoms:
S  0.000  0.000  0.000
Cs  0.750  0.750  0.750
Cs  0.250  0.250  0.250
Re  0.500  0.500  0.500

## Properties
spin magnetization: 1.25 μB per atom
ΔE_f (raw): 1.16 eV/atom
Fermi-level density of states: 0.09 states/eV/atom
mass density: 5.56 g/cm³

=====

The following is a PBE calculation of an optimized crystal structure of CsReS3, from Alexandria via LeMat-Bulk.

Cell lengths 5.451, 5.451, 5.451 Å; angles 90.00, 90.00, 90.00 degrees
Fractional coordinates of all 5 atoms:
S  0.500  0.000  0.000
S  0.000  0.500  0.000
S  0.000  0.000  0.500
Re  0.500  0.500  0.500
Cs  0.000  0.000  0.000

## Properties
spin magnetization: 0.91 μB per atom
ΔE_f (raw): 2.30 eV/atom
Fermi-level density of states: 1.00 states/eV/atom
mass density: 4.26 g/cm³

=====

The following is a PBE calculation of an optimized crystal structure of CsRe4S8, from Alexandria via LeMat-Bulk.

Cell lengths 3.313, 8.737, 8.879 Å; angles 82.39, 79.25, 79.07 degrees
Fractional coordinates of all 13 atoms:
S  0.132  0.362  0.374
S  0.556  0.669  0.219
S  0.475  0.334  0.715
S  0.220  0.682  0.879
S  0.188  0.010  0.613
S  0.812  0.322  0.055
S  0.899  0.641  0.560
S  0.843  0.993  0.321
Re  0.840  0.492  0.827
Re  0.650  0.202  0.498
Re  0.191  0.511  0.106
Re  0.381  0.801  0.436
Cs  0.516  0.002  0.967

## Properties
spin magnetization: 0.00 μB per atom
ΔE_f (raw): -0.37 eV/atom
Fermi-level density of states: 0.50 states/eV/atom
mass density: 7.64 g/cm³

=====

The following is a PBE calculation of an optimized crystal structure of Cs2ReS, from Alexandria via LeMat-Bulk.

Cell lengths 9.616, 9.616, 9.616 Å; angles 93.05, 93.05, 153.31 degrees
Fractional coordinates of all 8 atoms:
S  0.500  0.500  0.000
S  0.750  0.250  0.500
Cs  0.565  0.875  0.190
Cs  0.125  0.315  0.690
Cs  0.625  0.435  0.310
Cs  0.685  0.375  0.810
Re  0.000  0.000  0.000
Re  0.250  0.750  0.500

## Properties
spin magnetization: 0.32 μB per atom
ΔE_f (raw): 0.34 eV/atom
Fermi-level density of states: 0.57 states/eV/atom
mass density: 4.14 g/cm³

=====

The following is a PBE calculation of an optimized crystal structure of Cs3Sm3ReS8, from Alexandria via LeMat-Bulk.

Cell lengths 8.064, 8.063, 9.458 Å; angles 115.23, 90.01, 120.00 degrees
Fractional coordinates of all 15 atoms:
S  0.729  0.457  0.686
S  0.794  0.035  0.329
S  0.271  0.543  0.314
S  0.759  0.965  0.671
S  0.206  0.411  0.671
S  0.794  0.589  0.329
S  0.241  0.035  0.329
S  0.206  0.965  0.671
Cs  0.000  0.500  0.000
Cs  0.500  0.500  0.000
Cs  0.000  0.000  0.000
Sm  0.000  0.500  0.500
Sm  0.500  0.500  0.500
Sm  0.500  0.000  0.500
Re  0.000  0.000  0.500

## Properties
spin magnetization: 0.20 μB per atom
ΔE_f (raw): -1.43 eV/atom
mass density: 4.63 g/cm³

=====

The following is a PBE calculation of an optimized crystal structure of Cs2TlReS4, from Alexandria via LeMat-Bulk.

Cell lengths 7.277, 7.277, 7.277 Å; angles 106.29, 111.08, 111.08 degrees
Fractional coordinates of all 8 atoms:
S  0.683  0.460  0.502
S  0.958  0.498  0.181
S  0.317  0.819  0.777
S  0.042  0.223  0.540
Cs  0.000  0.000  0.000
Cs  0.500  0.750  0.250
Re  0.000  0.500  0.500
Tl  0.500  0.250  0.750

## Properties
spin magnetization: 0.23 μB per atom
ΔE_f (raw): -0.66 eV/atom
Fermi-level density of states: 0.36 states/eV/atom
mass density: 4.40 g/cm³

=====

The following is a PBE calculation of an optimized crystal structure of CsReSb3, from Alexandria via LeMat-Bulk.

Cell lengths 5.820, 5.820, 5.820 Å; angles 90.00, 90.00, 90.00 degrees
Fractional coordinates of all 5 atoms:
Sb  0.000  0.000  0.500
Sb  0.000  0.500  0.000
Sb  0.500  0.000  0.000
Cs  0.000  0.000  0.000
Re  0.500  0.500  0.500

## Properties
spin magnetization: 0.00 μB per atom
ΔE_f (raw): 3.01 eV/atom
Fermi-level density of states: 3.67 states/eV/atom
mass density: 5.76 g/cm³